## CuOsW2 (PBE)

Data for CuOsW2 after structural relaxation.

## Properties
Symmetry: I-42d (122)
E_form in eV/atom: 0.91

```
CuOsW2
1.0
7.094 0.000 0.000
0.000 7.094 0.000
0.000 0.000 5.272
Cu Os W
4 4 8
Cartesian
0.000 0.000 0.000
0.000 3.547 1.318
3.547 0.000 3.954
3.547 3.547 2.636
0.000 0.000 2.636
0.000 3.547 3.954
3.547 0.000 1.318
3.547 3.547 0.000
1.615 1.774 3.295
1.774 5.162 4.613
1.774 5.479 1.977
1.932 1.774 0.659
5.162 5.321 0.659
5.321 1.615 1.977
5.321 1.932 4.613
5.479 5.321 3.295
```

## Ca2CuPt (PBE)

Data for Ca2CuPt after structural relaxation.

## Properties
Symmetry: F-43m (216)
E_form in eV/atom: -0.27

```
Ca2CuPt
1.0
6.899 0.000 0.000
0.000 6.899 0.000
0.000 0.000 6.899
Ca Cu Pt
8 4 4
Cartesian
0.000 0.000 0.000
0.000 3.449 3.449
1.725 1.725 1.725
1.725 5.174 5.174
3.449 0.000 3.449
3.449 3.449 0.000
5.174 1.725 5.174
5.174 5.174 1.725
1.725 1.725 5.174
1.725 5.174 1.725
5.174 1.725 1.725
5.174 5.174 5.174
0.000 0.000 3.449
0.000 3.449 0.000
3.449 0.000 0.000
3.449 3.449 3.449
```

## NpScPaO6 (PBE)

Data for NpScPaO6 after structural relaxation.

## Properties
Symmetry: P-31c (163)
Formation energy without anion corrections in meV per atom: -3284

```
NpScPaO6
1.0
5.627 0.000 0.000
-2.813 4.873 0.000
0.000 0.000 9.452
Np Sc Pa O
2 2 2 12
Cartesian
0.000 0.000 0.000
0.000 0.000 4.726
0.000 3.249 2.363
2.813 1.624 7.089
0.000 3.249 7.089
2.813 1.624 2.363
-0.920 1.663 1.260
-1.833 3.245 3.465
0.920 1.663 3.465
-0.913 4.838 1.260
1.900 0.035 5.986
0.980 1.628 8.191
1.833 3.245 1.260
0.913 4.838 3.465
3.727 0.035 8.191
1.894 3.210 5.986
4.646 1.628 5.986
3.733 3.210 8.191
```

## Rb2Pt (PBE)

Data for Rb2Pt after structural relaxation.

## Properties
Symmetry: P4/mmm (123)
E_form in eV/atom: 0.14

```
Rb2Pt
1.0
5.466 0.000 0.000
0.000 5.466 0.000
0.000 0.000 4.222
Rb Pt
2 1
Cartesian
0.000 2.733 0.000
2.733 0.000 0.000
0.000 0.000 2.111
```

## PuTiPt2 (PBE)

Data for PuTiPt2 after structural relaxation.

## Properties
Symmetry: R-3m (166)
E_form in eV/atom: -0.73

```
PuTiPt2
1.0
4.393 0.000 0.000
-2.197 3.805 0.000
0.000 0.000 14.542
Pu Ti Pt
3 3 6
Cartesian
0.000 0.000 0.000
0.000 2.536 9.695
2.197 1.268 4.847
0.000 0.000 7.271
0.000 2.536 2.424
2.197 1.268 12.118
0.000 0.000 3.124
0.000 0.000 11.418
0.000 2.536 6.571
0.000 2.536 12.818
2.197 1.268 1.724
2.197 1.268 7.971
```

## SrBe2Cl (PBE)

Data for SrBe2Cl after structural relaxation.

## Properties
Symmetry: I-4m2 (119)
Formation energy without anion corrections in meV per atom: 326

```
SrBe2Cl
1.0
4.570 0.000 0.000
0.000 4.570 0.000
0.000 0.000 8.185
Sr Be Cl
2 4 2
Cartesian
0.000 0.000 0.000
2.285 2.285 4.093
0.000 0.000 4.093
0.000 2.285 6.139
2.285 0.000 2.046
2.285 2.285 0.000
0.000 2.285 2.046
2.285 0.000 6.139
```

## SrAlTl4 (PBE)

Data for SrAlTl4 after structural relaxation.

## Properties
Symmetry: F-43m (216)
E_form in eV/atom: 0.06

```
SrAlTl4
1.0
0.000 4.550 4.550
4.550 0.000 4.550
4.550 4.550 0.000
Sr Al Tl
1 1 4
Cartesian
0.000 0.000 0.000
2.275 2.275 2.275
5.682 3.418 3.418
3.418 5.682 3.418
3.418 3.418 5.682
5.682 5.682 5.682
```

## Nb2CoAg (PBE)

Data for Nb2CoAg after structural relaxation.

## Properties
Symmetry: R-3m (166)
E_form in eV/atom: 0.43

```
Nb2CoAg
1.0
2.803 0.000 0.000
-1.402 2.428 0.000
0.000 0.000 30.253
Nb Co Ag
6 3 3
Cartesian
0.000 0.000 2.908
0.000 0.000 27.345
0.000 1.619 17.261
0.000 1.619 23.076
1.402 0.809 7.177
1.402 0.809 12.992
0.000 0.000 15.126
0.000 1.619 5.042
1.402 0.809 25.211
0.000 0.000 0.000
0.000 1.619 20.169
1.402 0.809 10.084
```

## YAsPb2 (PBE)

Data for YAsPb2 after structural relaxation.

## Properties
Symmetry: R3m (160)
E_form in eV/atom: -0.39

```
YAsPb2
1.0
4.068 0.000 0.000
-2.034 3.523 0.000
0.000 0.000 25.194
Y As Pb
3 3 6
Cartesian
0.000 0.000 0.000
0.000 2.348 16.796
2.034 1.174 8.398
0.000 0.000 18.371
0.000 2.348 9.973
2.034 1.174 1.575
0.000 0.000 5.970
0.000 0.000 11.853
0.000 2.348 3.455
0.000 2.348 22.766
2.034 1.174 14.368
2.034 1.174 20.251
```

## Ac2UPdSe5 (PBE)

Data for Ac2UPdSe5 after structural relaxation.

## Properties
Symmetry: Cmc2_1 (36)
Formation energy without anion corrections in meV per atom: -1497

```
Ac2UPdSe5
1.0
2.104 -8.846 0.000
2.104 8.846 0.000
0.000 0.000 12.928
Ac U Pd Se
4 2 2 10
Cartesian
2.104 6.948 6.464
2.104 6.679 11.032
2.104 -6.679 4.568
2.104 -6.948 0.000
2.104 5.711 2.233
2.104 -5.711 8.697
2.104 1.115 7.415
2.104 -1.115 0.951
2.104 8.482 2.261
2.104 3.568 6.698
2.104 3.409 10.714
2.104 2.802 2.237
2.104 0.037 11.589
2.104 -0.037 5.125
2.104 -2.802 8.702
2.104 -3.409 4.250
2.104 -3.568 0.234
2.104 -8.482 8.725
```

## MnCuRh (PBE)

Data for MnCuRh after structural relaxation.

## Properties
Symmetry: P3m1 (156)
E_form in eV/atom: 0.07

```
MnCuRh
1.0
4.178 0.000 0.000
-2.089 3.618 0.000
0.000 0.000 2.691
Mn Cu Rh
1 1 1
Cartesian
0.000 0.000 0.000
2.089 1.206 1.963
0.000 2.412 0.918
```

## Dy2Cd2C (PBE)

Data for Dy2Cd2C after structural relaxation.

## Properties
Symmetry: R-3m (166)
E_form in eV/atom: -0.26

```
Dy2Cd2C
1.0
3.570 0.000 0.000
-1.785 3.092 0.000
0.000 0.000 30.995
Dy Cd C
6 6 3
Cartesian
0.000 0.000 3.814
0.000 0.000 27.182
0.000 2.061 16.850
0.000 2.061 24.477
1.785 1.031 6.518
1.785 1.031 14.145
0.000 0.000 11.482
0.000 0.000 19.513
0.000 2.061 1.150
0.000 2.061 9.181
1.785 1.031 21.814
1.785 1.031 29.845
0.000 0.000 15.498
0.000 2.061 5.166
1.785 1.031 25.829
```

## Ac2TbGe4Pd3 (PBE)

Data for Ac2TbGe4Pd3 after structural relaxation.

## Properties
Symmetry: P-4m2 (115)
E_form in eV/atom: -0.81

```
Ac2TbGe4Pd3
1.0
4.435 0.000 0.000
0.000 4.435 0.000
0.000 0.000 11.460
Ac Tb Ge Pd
2 1 4 3
Cartesian
0.000 2.218 2.623
2.218 0.000 8.837
0.000 0.000 5.730
0.000 0.000 0.000
0.000 2.218 7.566
2.218 0.000 3.894
2.218 2.218 0.000
0.000 2.218 10.133
2.218 0.000 1.327
2.218 2.218 5.730
```

Calculated DFT total energy, -9.3986, -3.8025, -9.7860, -2.5219, -9.3061, -2.4196, -2.4173, -7.0964, -5.0268, -6.1775, -6.8020, -4.3115, -5.5022 eV/atom (same order as the records).
Calculated DOS(E_F), 11.61, 15.26, 23.60, 0.78, 45.35, 6.55, 3.11, 14.04, 7.87, 13.41, 3.24, 11.06, 4.30 states/eV per cell (same order as the records).